This record from Alexandria describes a relaxed structure of Hf5CdRe4. The functional is GGA-PBE.

Geometry as extended XYZ:
```
10
Lattice="3.303 0.000 0.000 0.000 3.303 0.000 0.000 0.000 16.988" Properties=species:S:1:pos:R:3 pbc="T T T"
Re 0.000 0.000 13.446
Re 0.000 0.000 6.862
Re 0.000 0.000 3.542
Hf 1.651 1.651 14.930
Re 0.000 0.000 10.126
Hf 1.651 1.651 11.751
Hf 1.651 1.651 5.237
Hf 1.651 1.651 2.058
Cd 0.000 0.000 0.000
Hf 1.651 1.651 8.494
```

## Properties
- formation enthalpy at 0 K (eV per atom) = -0.2961
- symmetry = No. 123



This record from Alexandria describes a relaxed structure of Hf2CdReSb. The functional is GGA-PBE.

Geometry as extended XYZ:
```
5
Lattice="-4.969 -0.316 -1.092 -0.996 -0.745 4.746 -0.471 5.028 0.691" Properties=species:S:1:pos:R:3 pbc="T T T"
Sb -3.218 1.984 2.172
Cd 0.000 0.000 0.000
Hf -2.485 -0.158 -0.546
Re -0.498 -0.373 2.373
Hf -0.236 2.514 0.345
```

## Properties
- formation energy from raw total energies (meV/atom) = 1540
- symmetry = No. 123



This record from Alexandria describes a relaxed structure of SrHfCdRe2. The functional is GGA-PBE.

Geometry as extended XYZ:
```
5
Lattice="4.827 0.000 0.000 0.000 5.108 0.000 0.000 0.000 4.827" Properties=species:S:1:pos:R:3 pbc="T T T"
Hf 2.414 2.554 2.414
Sr 0.000 0.000 0.000
Cd 0.000 2.554 0.000
Re 2.414 0.000 0.000
Re 0.000 0.000 2.414
```

## Properties
- formation enthalpy at 0 K (eV per atom) = 2.7198
- symmetry = No. 123



This record from Alexandria describes a relaxed structure of HfCdReTe2. The functional is GGA-PBE.

Geometry as extended XYZ:
```
5
Lattice="5.215 0.000 0.000 0.000 5.165 0.000 0.000 0.000 5.215" Properties=species:S:1:pos:R:3 pbc="T T T"
Re 0.000 0.000 0.000
Cd 2.607 2.583 2.607
Te 2.607 0.000 0.000
Hf 0.000 2.583 0.000
Te 0.000 0.000 2.607
```

## Properties
- formation energy from raw total energies (meV/atom) = 673
- symmetry = No. 123



This record from Alexandria describes a relaxed structure of HfZrCdRe2. The functional is GGA-PBE.

Geometry as extended XYZ:
```
5
Lattice="4.894 0.000 0.000 0.000 4.837 0.000 0.000 0.000 4.894" Properties=species:S:1:pos:R:3 pbc="T T T"
Cd 0.000 0.000 0.000
Hf 0.000 2.418 0.000
Re 0.000 0.000 2.447
Re 2.447 0.000 0.000
Zr 2.447 2.418 2.447
```

## Properties
- formation enthalpy at 0 K (eV per atom) = 2.0591
- symmetry = No. 123



This record from Alexandria describes a relaxed structure of Hf2CdRh. The functional is GGA-PBE.

Geometry as extended XYZ:
```
4
Lattice="3.055 0.000 0.000 1.528 2.646 0.000 1.528 0.882 10.455" Properties=species:S:1:pos:R:3 pbc="T T T"
Hf 1.528 0.882 7.380
Rh 3.055 1.764 5.228
Hf 4.583 2.646 3.075
Cd 0.000 0.000 0.000
```

## Properties
- formation enthalpy at 0 K (eV per atom) = 0.0666
- symmetry = No. 166



This record from Alexandria describes a relaxed structure of Hf2CdRh. The functional is GGA-PBE.

Geometry as extended XYZ:
```
8
Lattice="7.691 0.000 0.000 0.000 7.691 0.000 3.846 3.846 2.863" Properties=species:S:1:pos:R:3 pbc="T T T"
Rh 3.846 3.846 0.000
Hf 9.614 9.231 2.147
Cd 7.691 3.846 1.431
Hf 5.768 6.152 2.147
Cd 0.000 0.000 0.000
Hf 5.385 1.923 0.716
Hf 2.306 5.768 0.716
Rh 3.846 7.691 1.431
```

## Properties
- formation enthalpy at 0 K (eV per atom) = -0.0298
- symmetry = No. 122



This record from Alexandria describes a relaxed structure of Hf4CdRh5. The functional is GGA-PBE.

Geometry as extended XYZ:
```
10
Lattice="-1.916 2.340 -1.347 0.114 -1.581 -2.907 -12.918 -8.278 3.994" Properties=species:S:1:pos:R:3 pbc="T T T"
Rh -12.408 -6.994 1.430
Rh -9.934 -5.408 0.665
Cd 0.000 0.000 0.000
Hf -10.397 -6.662 3.214
Hf -7.756 -4.970 2.398
Hf -5.162 -3.308 1.596
Rh -7.360 -3.759 -0.131
Rh -4.787 -2.110 -0.926
Hf -2.521 -1.615 0.779
Rh -2.312 -0.524 -1.691
```

## Properties
- formation enthalpy at 0 K (eV per atom) = -0.8127
- symmetry = No. 123



This record from Alexandria describes a relaxed structure of HfCd2Rh2. The functional is GGA-PBE.

Geometry as extended XYZ:
```
10
Lattice="-2.129 3.883 5.146 -6.240 -2.602 -0.618 0.975 -2.966 2.642" Properties=species:S:1:pos:R:3 pbc="T T T"
Cd -3.967 -2.580 1.734
Rh -2.542 -0.389 0.502
Hf -4.184 0.640 2.264
Cd -6.161 -1.109 4.195
Cd -1.232 -0.576 2.974
Rh -5.827 1.669 4.026
Hf 0.000 0.000 0.000
Cd -3.427 0.895 5.435
Rh -6.127 -0.841 1.318
Rh -2.242 2.122 3.210
```

## Properties
- formation enthalpy at 0 K (eV per atom) = -0.2832
- symmetry = No. 127



This record from Alexandria describes a relaxed structure of Hf4CdRh. The functional is GGA-PBE.

Geometry as extended XYZ:
```
6
Lattice="-2.896 1.113 0.943 0.065 -1.997 2.554 5.257 8.293 6.352" Properties=species:S:1:pos:R:3 pbc="T T T"
Rh 1.213 3.704 4.925
Hf 3.377 5.327 4.080
Hf 1.880 2.966 2.272
Cd 0.000 0.000 0.000
Hf 2.881 6.335 6.940
Hf -0.455 1.073 2.909
```

## Properties
- formation enthalpy at 0 K (eV per atom) = -0.3624
- symmetry = No. 123



This record from Alexandria describes a relaxed structure of Hf2CdRh3. The functional is GGA-PBE.

Geometry as extended XYZ:
```
6
Lattice="-0.690 -1.088 3.051 2.714 -1.896 -0.063 5.055 7.115 3.681" Properties=species:S:1:pos:R:3 pbc="T T T"
Cd 3.540 2.065 3.335
Rh 0.000 0.000 0.000
Hf 5.192 4.391 4.538
Rh 3.445 4.850 2.509
Hf 1.888 -0.260 2.131
Rh 1.609 2.265 1.172
```

## Properties
- formation enthalpy at 0 K (eV per atom) = -0.7848
- symmetry = No. 123



This record from Alexandria describes a relaxed structure of Hf2Cd2Rh. The functional is GGA-PBE.

Geometry as extended XYZ:
```
10
Lattice="-0.295 6.942 -1.609 1.358 -1.526 -6.833 -3.885 -0.327 -0.699" Properties=species:S:1:pos:R:3 pbc="T T T"
Cd 1.067 1.214 -6.498
Hf -1.014 3.225 -7.097
Rh 0.532 2.708 -4.221
Hf -1.740 5.092 -3.936
Cd 0.607 5.036 -5.731
Rh 0.000 0.000 0.000
Hf -1.808 1.863 -2.045
Cd 0.456 0.380 -2.712
Hf -1.082 -0.003 -5.206
Cd -0.004 4.202 -1.944
```

## Properties
- formation enthalpy at 0 K (eV per atom) = 0.1103
- symmetry = No. 127



This record from Alexandria describes a relaxed structure of Hf2CdRh. The functional is GGA-PBE.

Geometry as extended XYZ:
```
4
Lattice="3.296 0.000 0.000 0.000 3.296 0.000 0.000 0.000 7.133" Properties=species:S:1:pos:R:3 pbc="T T T"
Rh 1.648 1.648 0.000
Cd 1.648 1.648 3.566
Hf 0.000 0.000 5.541
Hf 0.000 0.000 1.592
```

## Properties
- formation enthalpy at 0 K (eV per atom) = -0.3892
- symmetry = No. 123



Number 1: calculated volume 185.3 Å³ per cell. Number 2: calculated volume 127.5 Å³ per cell. Number 3: calculated volume 119.0 Å³ per cell. Number 4: calculated volume 140.5 Å³ per cell. Number 5: calculated volume 115.8 Å³ per cell. Number 6: calculated volume 84.5 Å³ per cell. Number 7: calculated volume 169.4 Å³ per cell. Number 8: calculated volume 173.8 Å³ per cell. Number 9: calculated volume 188.5 Å³ per cell. Number 10: calculated volume 122.9 Å³ per cell. Number 11: calculated volume 103.9 Å³ per cell. Number 12: calculated volume 201.5 Å³ per cell. Number 13: calculated volume 77.5 Å³ per cell.